#a
Density functional theory data (PBE-GGA) for a relaxed structure of Li8AlZn2.

a b c (Å): 8.2707 11.2337 4.2504
angles (deg): 90.00 90.00 90.00
With the nearest neighbours (Å) after each atom.
Space group Cmmm (No. 65)
Symmetry-distinct sites (fractional):
Li: 0.0000 0.2495 0.0000 x4  2 Zn 2.63, 1 Al 2.81, 4 Li 2.87
Li: 0.1672 0.0000 0.0000 x4  1 Al 2.75, 5 Li 2.77-2.92, 4 Zn 2.83
Li: 0.1698 0.3674 0.5000 x8  1 Zn 2.74, 7 Li 2.81-2.98, 2 Al 2.95
Al: 0.0000 0.5000 0.0000 x2  12 Li 2.75-2.95
Zn: 0.0000 0.1120 0.5000 x4  1 Zn 2.52, 4 Li 2.63-2.74

Values from the calculation:
N(E_F) = 10.74 states/eV/cell

=====

#b
Density functional theory data (PBE-GGA) for a relaxed structure of Li8AlZn2.

a b c (Å): 7.4940 12.1988 4.7182
angles (deg): 90.00 112.47 90.00
With the nearest neighbours (Å) after each atom.
Space group C2/m (No. 12)
Symmetry-distinct sites (fractional):
Li: 0.0000 0.2237 0.0000 x4  2 Zn 2.61, 1 Al 2.73
Li: 0.1117 0.5000 0.8195 x4  2 Zn 2.66, 1 Al 2.70, 4 Li 2.81-2.88
Li: 0.1949 0.1141 0.6115 x8  2 Zn 2.67-2.81, 3 Li 2.70-2.88
Al: 0.0000 0.0000 0.0000 x2  4 Li 2.70-2.73
Zn: 0.0000 0.3159 0.5000 x4  8 Li 2.61-2.81

Values from the calculation:
N(E_F) = 5.83 states/eV/cell

=====

The structure with the greatest stability is #a.

=====

#a
Density functional theory data (PBE-GGA) for a relaxed structure of Li2Al2Zn3.

a b c (Å): 12.0162 2.8877 6.8509
angles (deg): 90.00 113.55 90.00
With the nearest neighbours (Å) after each atom.
Space group C2/m (No. 12)
Symmetry-distinct sites (fractional):
Li: 0.1380 0.0000 0.4209 x4  4 Zn 2.69-2.79, 4 Al 2.78-2.83, 4 Li 2.86-2.89
Al: 0.0780 0.5000 0.7203 x4  5 Zn 2.70-2.84, 4 Li 2.78-2.83, 3 Al 2.85-2.89
Zn: 0.0000 0.0000 0.0000 x2  2 Li 2.69, 6 Zn 2.77-2.89, 4 Al 2.84
Zn: 0.2151 0.5000 0.1486 x4  3 Al 2.70-2.73, 3 Li 2.77-2.79, 6 Zn 2.77-2.89

Values from the calculation:
N(E_F) = 3.95 states/eV/cell

=====

#b
Density functional theory data (PBE-GGA) for a relaxed structure of Li2Al2Zn3.

a b c (Å): 8.3930 4.0624 6.4188
angles (deg): 90.00 100.51 90.00
With the nearest neighbours (Å) after each atom.
Space group C2/m (No. 12)
Symmetry-distinct sites (fractional):
Li: 0.0743 0.0000 0.2286 x4  6 Zn 2.67-2.82, 5 Al 2.75-2.92, 1 Li 2.97
Al: 0.1438 0.5000 0.9317 x4  3 Al 2.71-2.74, 5 Li 2.75-2.92, 4 Zn 2.77-2.87
Zn: 0.0000 0.5000 0.5000 x2  6 Zn 2.74-2.75, 2 Al 2.81, 4 Li 2.82
Zn: 0.2116 0.0000 0.6441 x4  4 Li 2.67-2.74, 5 Zn 2.74-2.90, 3 Al 2.77-2.87

Values from the calculation:
N(E_F) = 3.60 states/eV/cell

=====

The structure with the greatest stability is #b.

=====

#a
Density functional theory data (PBE-GGA) for a relaxed structure of LiAl5Zn4.

a b c (Å): 13.7859 4.0200 7.0676
angles (deg): 90.00 119.91 90.00
With the nearest neighbours (Å) after each atom.
Space group C2/m (No. 12)
Symmetry-distinct sites (fractional):
Li: 0.0000 0.0000 0.0000 x2  6 Zn 2.65-2.68, 4 Al 2.88
Al: 0.0000 0.0000 0.5000 x2  6 Zn 2.69-2.73, 4 Al 3.00
Al: 0.1718 0.5000 0.1928 x4  5 Zn 2.68-2.76, 3 Al 2.73-2.77, 2 Li 2.88
Al: 0.1793 0.5000 0.5914 x4  1 Zn 2.63, 3 Al 2.73-2.77
Zn: 0.0173 0.5000 0.7683 x4  5 Al 2.63-2.75, 2 Li 2.68, 2 Zn 2.71
Zn: 0.1699 0.0000 0.9237 x4  1 Li 2.65, 4 Al 2.69-2.76, 4 Zn 2.71-2.78

Values from the calculation:
N(E_F) = 6.59 states/eV/cell

=====

#b
Density functional theory data (PBE-GGA) for a relaxed structure of LiAl5Zn4.

a b c (Å): 8.2560 8.2560 5.0452
angles (deg): 90.00 90.00 90.00
With the nearest neighbours (Å) after each atom.
Space group I4 (No. 79)
Symmetry-distinct sites (fractional):
Li: 0.0000 0.0000 0.0000 x2  2 Al 2.45-2.60, 4 Zn 2.63
Al: 0.0000 0.0000 0.4856 x2  2 Li 2.45-2.60, 4 Zn 2.66
Al: 0.0610 0.3432 0.2481 x8  5 Zn 2.61-2.87, 1 Al 2.78
Zn: 0.1316 0.2459 0.7479 x8  6 Al 2.61-2.87, 1 Li 2.63

Values from the calculation:
N(E_F) = 6.57 states/eV/cell

=====

The structure with the greatest stability is #a.